Record 1
{
  "formula": "UTcH5",
  "functional": "PBE",
  "state": "relaxed",
  "lattice_angstrom": [[3.7728, 0.0000, 0.0000], [0.0000, 4.7000, 0.0000], [0.0000, 0.0000, 6.4119]],
  "species": ["U", "U", "Tc", "Tc", "H", "H", "H", "H", "H", "H", "H", "H", "H", "H"],
  "fractional_positions": [[0.0000, 0.0000, 0.0000], [0.5000, 0.5000, 0.5000], [0.0000, 0.0000, 0.5000], [0.5000, 0.5000, 0.0000], [0.0000, 0.2868, 0.3245], [0.0000, 0.2868, 0.6755], [0.0000, 0.5000, 0.0000], [0.0000, 0.7132, 0.3245], [0.0000, 0.7132, 0.6755], [0.5000, 0.0000, 0.5000], [0.5000, 0.2132, 0.1755], [0.5000, 0.2132, 0.8245], [0.5000, 0.7868, 0.1755], [0.5000, 0.7868, 0.8245]],
  "dft_energy_ev_per_atom": -5.6288,
  "space_group": "Immm"
}

Record 2
{
  "formula": "NdYPdRu",
  "functional": "PBE",
  "state": "relaxed",
  "lattice_angstrom": [[3.4791, 0.0000, 0.0000], [0.0000, 3.4791, 0.0000], [0.0000, 0.0000, 7.1926]],
  "species": ["Nd", "Y", "Pd", "Ru"],
  "fractional_positions": [[0.0000, 0.0000, 0.0000], [0.0000, 0.0000, 0.4786], [0.5000, 0.5000, 0.7232], [0.5000, 0.5000, 0.2458]],
  "dft_energy_ev_per_atom": -6.9806,
  "space_group": "P4mm",
  "e_above_lowest_polymorph_mev_per_atom": 0
}

Record 3
{
  "formula": "KNd2Mo2N6",
  "functional": "PBE",
  "state": "relaxed",
  "lattice_angstrom": [[6.4343, 0.0000, 0.0000], [-2.9018, 5.9957, 0.0000], [-3.0712, -2.0105, 5.7820]],
  "species": ["K", "Nd", "Nd", "Mo", "Mo", "N", "N", "N", "N", "N", "N"],
  "fractional_positions": [[0.0000, 0.0000, 0.0000], [0.3711, 0.6755, 0.2906], [0.6289, 0.3245, 0.7094], [0.2322, 0.6828, 0.6892], [0.7678, 0.3172, 0.3108], [0.1316, 0.6741, 0.9055], [0.2733, 0.9077, 0.5466], [0.4609, 0.5852, 0.6976], [0.5391, 0.4148, 0.3024], [0.7267, 0.0923, 0.4534], [0.8684, 0.3259, 0.0945]],
  "raw_formation_energy_ev_per_atom": -0.511,
  "dft_energy_ev_per_atom": -7.9877,
  "space_group": "P-1"
}

Record 4
{
  "formula": "La3Al2Cu",
  "functional": "PBE",
  "state": "relaxed",
  "lattice_angstrom": [[4.5048, 2.6009, 4.8647], [-4.5048, 2.6009, 4.8647], [0.0000, -5.2017, 4.8647]],
  "species": ["La", "La", "La", "La", "La", "La", "Al", "Al", "Al", "Al", "Cu", "Cu"],
  "fractional_positions": [[0.0848, 0.7500, 0.4152], [0.2500, 0.5848, 0.9152], [0.4152, 0.0848, 0.7500], [0.5848, 0.9152, 0.2500], [0.7500, 0.4152, 0.0848], [0.9152, 0.2500, 0.5848], [0.1624, 0.1624, 0.1624], [0.3376, 0.3376, 0.3376], [0.6624, 0.6624, 0.6624], [0.8376, 0.8376, 0.8376], [0.0000, 0.0000, 0.0000], [0.5000, 0.5000, 0.5000]],
  "dft_energy_ev_per_atom": -4.5684,
  "space_group": "R-3c"
}

Record 5
{
  "formula": "Zn2Cu2Ag",
  "functional": "PBE",
  "state": "relaxed",
  "lattice_angstrom": [[8.4749, 0.0000, 0.0000], [0.0000, 3.7086, 0.0000], [-4.1470, 0.0000, 4.5094]],
  "species": ["Zn", "Zn", "Zn", "Zn", "Cu", "Cu", "Cu", "Cu", "Ag", "Ag"],
  "fractional_positions": [[0.0884, 0.0000, 0.2783], [0.4116, 0.5000, 0.7217], [0.5884, 0.5000, 0.2783], [0.9116, 0.0000, 0.7217], [0.1949, 0.5000, 0.0945], [0.3051, 0.0000, 0.9055], [0.6949, 0.0000, 0.0945], [0.8051, 0.5000, 0.9055], [0.0000, 0.5000, 0.5000], [0.5000, 0.0000, 0.5000]],
  "dft_energy_ev_per_atom": -2.7377,
  "space_group": "C2/m",
  "e_above_lowest_polymorph_mev_per_atom": 4
}

Record 6
{
  "formula": "CuSi2Ni",
  "functional": "PBE",
  "state": "relaxed",
  "lattice_angstrom": [[7.7500, 0.0000, 0.0000], [0.0000, 2.7041, 0.0000], [-1.0119, 0.0000, 4.6875]],
  "species": ["Cu", "Cu", "Si", "Si", "Si", "Si", "Ni", "Ni"],
  "fractional_positions": [[0.0000, 0.0000, 0.0000], [0.5000, 0.5000, 0.0000], [0.2455, 0.0000, 0.7379], [0.2545, 0.5000, 0.2621], [0.7455, 0.5000, 0.7379], [0.7545, 0.0000, 0.2621], [0.0000, 0.5000, 0.5000], [0.5000, 0.0000, 0.5000]],
  "raw_formation_energy_ev_per_atom": -0.110,
  "dft_energy_ev_per_atom": -5.2907,
  "space_group": "C2/m"
}

Record 7
{
  "formula": "TbPrCoNi",
  "functional": "PBE",
  "state": "relaxed",
  "lattice_angstrom": [[6.8724, 0.0000, 0.0000], [0.0000, 6.8724, 0.0000], [0.0000, 0.0000, 6.8724]],
  "species": ["Tb", "Tb", "Tb", "Tb", "Pr", "Pr", "Pr", "Pr", "Co", "Co", "Co", "Co", "Ni", "Ni", "Ni", "Ni"],
  "fractional_positions": [[0.0000, 0.0000, 0.0000], [0.0000, 0.5000, 0.5000], [0.5000, 0.0000, 0.5000], [0.5000, 0.5000, 0.0000], [0.0000, 0.0000, 0.5000], [0.0000, 0.5000, 0.0000], [0.5000, 0.0000, 0.0000], [0.5000, 0.5000, 0.5000], [0.2500, 0.2500, 0.7500], [0.2500, 0.7500, 0.2500], [0.7500, 0.2500, 0.2500], [0.7500, 0.7500, 0.7500], [0.2500, 0.2500, 0.2500], [0.2500, 0.7500, 0.7500], [0.7500, 0.2500, 0.7500], [0.7500, 0.7500, 0.2500]],
  "dft_energy_ev_per_atom": -5.7021,
  "space_group": "F-43m"
}

Record 8
{
  "formula": "PmPuThHg",
  "functional": "PBE",
  "state": "relaxed",
  "lattice_angstrom": [[7.6686, 0.0000, 0.0000], [0.0000, 7.6686, 0.0000], [0.0000, 0.0000, 7.6686]],
  "species": ["Pm", "Pm", "Pm", "Pm", "Pu", "Pu", "Pu", "Pu", "Th", "Th", "Th", "Th", "Hg", "Hg", "Hg", "Hg"],
  "fractional_positions": [[0.0000, 0.0000, 0.0000], [0.0000, 0.5000, 0.5000], [0.5000, 0.0000, 0.5000], [0.5000, 0.5000, 0.0000], [0.2500, 0.2500, 0.2500], [0.2500, 0.7500, 0.7500], [0.7500, 0.2500, 0.7500], [0.7500, 0.7500, 0.2500], [0.0000, 0.0000, 0.5000], [0.0000, 0.5000, 0.0000], [0.5000, 0.0000, 0.0000], [0.5000, 0.5000, 0.5000], [0.2500, 0.2500, 0.7500], [0.2500, 0.7500, 0.2500], [0.7500, 0.2500, 0.2500], [0.7500, 0.7500, 0.7500]],
  "dft_energy_ev_per_atom": -6.6594,
  "space_group": "F-43m"
}

Record 9
{
  "formula": "YMn2Tc",
  "functional": "PBE",
  "state": "relaxed",
  "lattice_angstrom": [[3.2938, 0.0000, 0.0000], [0.0000, 4.6151, 0.0000], [0.0000, 0.0000, 8.9634]],
  "species": ["Y", "Y", "Mn", "Mn", "Mn", "Mn", "Tc", "Tc"],
  "fractional_positions": [[0.0000, 0.0000, 0.0000], [0.5000, 0.5000, 0.5000], [0.0000, 0.0000, 0.5262], [0.0000, 0.5000, 0.7793], [0.5000, 0.0000, 0.2793], [0.5000, 0.5000, 0.0262], [0.0000, 0.5000, 0.2341], [0.5000, 0.0000, 0.7341]],
  "dft_energy_ev_per_atom": -8.4727,
  "space_group": "Imm2",
  "e_above_lowest_polymorph_mev_per_atom": 128
}

Record 10
{
  "formula": "AcTeS2O8",
  "functional": "PBE",
  "state": "relaxed",
  "lattice_angstrom": [[5.8511, -3.1630, 0.0000], [5.8511, 3.1630, 0.0000], [-2.3116, 0.0000, 5.4942]],
  "species": ["Ac", "Te", "S", "S", "O", "O", "O", "O", "O", "O", "O", "O"],
  "fractional_positions": [[0.0000, 0.0000, 0.0000], [0.5000, 0.5000, 0.5000], [0.1820, 0.1820, 0.6893], [0.8180, 0.8180, 0.3107], [0.0697, 0.6950, 0.2464], [0.1522, 0.1522, 0.4227], [0.3050, 0.9303, 0.7536], [0.3142, 0.3142, 0.8305], [0.6858, 0.6858, 0.1695], [0.6950, 0.0697, 0.2464], [0.8478, 0.8478, 0.5773], [0.9303, 0.3050, 0.7536]],
  "raw_formation_energy_ev_per_atom": -1.541,
  "dft_energy_ev_per_atom": -6.1381,
  "space_group": "C2/m"
}

Record 11
{
  "formula": "Zr2Ga2Au",
  "functional": "PBE",
  "state": "relaxed",
  "lattice_angstrom": [[3.5422, 0.0000, 0.0000], [0.0000, 3.5422, 0.0000], [0.0000, 0.0000, 16.1396]],
  "species": ["Zr", "Zr", "Zr", "Zr", "Ga", "Ga", "Ga", "Ga", "Au", "Au"],
  "fractional_positions": [[0.0000, 0.0000, 0.1040], [0.0000, 0.0000, 0.8960], [0.5000, 0.5000, 0.3960], [0.5000, 0.5000, 0.6040], [0.0000, 0.5000, 0.2500], [0.0000, 0.5000, 0.7500], [0.5000, 0.0000, 0.2500], [0.5000, 0.0000, 0.7500], [0.0000, 0.0000, 0.5000], [0.5000, 0.5000, 0.0000]],
  "dft_energy_ev_per_atom": -5.4716,
  "space_group": "I4/mmm",
  "e_above_lowest_polymorph_mev_per_atom": 429
}

Record 12
{
  "formula": "VCuSb",
  "functional": "PBE",
  "state": "relaxed",
  "lattice_angstrom": [[4.0923, 0.0000, 0.0000], [0.0000, 3.7815, 0.0000], [-0.0629, 0.0000, 6.5386]],
  "species": ["V", "V", "Cu", "Cu", "Sb", "Sb"],
  "fractional_positions": [[0.0000, 0.0000, 0.0000], [0.0053, 0.5000, 0.2659], [0.5050, 0.0000, 0.2799], [0.5081, 0.5000, 0.5446], [0.0071, 0.0000, 0.5734], [0.5001, 0.5000, 0.9680]],
  "raw_formation_energy_ev_per_atom": 0.073,
  "dft_energy_ev_per_atom": -5.7060,
  "space_group": "Pm",
  "e_above_lowest_polymorph_mev_per_atom": 144
}